PBE Tb3Er5Tm4, relaxed; total moment = 0.04 μB/atom; E_form = 24.6 kJ/mol of atoms; SG = C2/m, No. 12
1.0
7.906 -2.896 0.000
7.906 2.896 0.000
-4.077 0.000 8.197
Tb Er Tm
3 5 4
Cartesian
0.000 0.000 0.000
1.473 0.000 6.304
10.261 0.000 1.893
-1.682 0.000 5.725
1.159 0.000 3.171
7.906 0.000 0.000
10.575 0.000 5.026
13.416 0.000 2.473
4.056 0.000 1.006
4.348 0.000 4.593
7.386 0.000 3.604
7.678 0.000 7.191